RbAcRuO4 | GGA-PBE | relaxed

Summary:
Raw total energy   -186.83 eV per cell
N(E_F)   11.3 states/eV/cell
ΔE_f (raw)   -1.7891 eV/atom
ρ   6.32 g/cm3
V   502 Å³ per cell

Lattice parameters (Å, degrees): 6.609 7.926 9.586 90.00 90.00 90.00
Space group Imma (No. 74)
Asymmetric unit:
Rb1 0.000 0.250 0.146
Ac1 0.000 0.000 0.500
Ru1 0.250 0.250 0.750
O1 0.000 0.085 0.752
O2 0.221 0.250 0.540

---

Na2NpAg2S4 | GGA-PBE | relaxed

Summary:
Raw total energy   -91.08 eV per cell
N(E_F)   19.9 states/eV/cell
ΔE_f (raw)   -0.8611 eV/atom
ρ   5.18 g/cm3
V   402 Å³ per cell

Lattice parameters (Å, degrees): 15.006 4.028 7.556 90.00 118.28 90.00
Space group C2/m (No. 12)
Asymmetric unit:
Na1 0.152 0.000 0.048
Np1 0.000 0.000 0.500
Ag1 0.173 0.500 0.453
S1 0.015 0.500 0.756
S2 0.206 0.000 0.709

---

LaGd2Zr | GGA-PBE | relaxed

Summary:
Raw total energy   -41.31 eV per cell
N(E_F)   6.0 states/eV/cell
ρ   7.37 g/cm3
V   123 Å³ per cell
Formation energy from the elements   81.4 meV/atom

Lattice parameters (Å, degrees): 3.452 3.452 10.290 90.00 90.00 90.00
Space group P4/mmm (No. 123)
Asymmetric unit:
La1 0.000 0.000 0.000
Gd1 0.500 0.500 0.278
Zr1 0.000 0.000 0.500

---

NaPPdS4 | GGA-PBE | relaxed

Summary:
Raw total energy   -121.92 eV per cell
N(E_F)   24.1 states/eV/cell
ΔE_f (raw)   -0.2926 eV/atom
ρ   3.03 g/cm3
V   632 Å³ per cell

Lattice parameters (Å, degrees): 7.458 11.020 7.692 90.00 90.00 90.00
Space group Cmcm (No. 63)
Asymmetric unit:
Na1 0.000 0.000 0.000
P1 0.000 0.371 0.250
Pd1 0.000 0.333 0.750
S1 0.000 0.259 0.040
S2 0.208 0.496 0.250

---

BaNaAl2Ge2 | GGA-PBE | relaxed

Summary:
Raw total energy   -21.59 eV per cell
N(E_F)   2.3 states/eV/cell
ρ   4.15 g/cm3
V   144 Å³ per cell
Formation energy from the elements   -270.7 meV/atom

Lattice parameters (Å, degrees): 4.6865 4.6865 7.5581 90.00 90.00 120.00
Space group P-3m1 (No. 164)
Asymmetric unit:
Ba1 0.0000 0.0000 0.0000
Na1 0.0000 0.0000 0.5000
Al1 0.3333 0.6667 0.6548
Ge1 0.3333 0.6667 0.2951

---

Tm3ScC2 | GGA-PBE | relaxed

Summary:
Raw total energy   -80.44 eV per cell
N(E_F)   8.9 states/eV/cell
ρ   7.61 g/cm3
V   251 Å³ per cell
Formation energy from the elements   -337.3 meV/atom

Lattice parameters (Å, degrees): 6.9474 6.9474 6.0091 90.00 90.00 120.00
Space group P-3m1 (No. 164)
Asymmetric unit:
Tm1 0.1661 0.3321 0.2243
Sc1 0.3333 0.6667 0.8064
C1 0.0000 0.0000 0.0000
C2 0.0000 0.5000 0.0000

---

SrTcOs | GGA-PBE | relaxed

Summary:
Raw total energy   -20.34 eV per cell
N(E_F)   2.9 states/eV/cell
ρ   11.11 g/cm3
V   56 Å³ per cell
Formation energy from the elements   978.8 meV/atom

Lattice parameters (Å, degrees): 2.9203 2.9203 7.6088 90.00 90.00 120.00
Space group P3m1 (No. 156)
Asymmetric unit:
Sr1 0.0000 0.0000 0.0000
Tc1 0.6667 0.3333 0.3739
Os1 0.3333 0.6667 0.6344

---

Th4Sb2OsS | GGA-PBE | relaxed

Summary:
Raw total energy   -61.20 eV per cell
N(E_F)   6.2 states/eV/cell
ΔE_f (raw)   -0.9895 eV/atom
ρ   10.07 g/cm3
V   230 Å³ per cell

Lattice parameters (Å, degrees): 7.444 4.237 7.720 90.00 109.26 90.00
Space group P2/m (No. 10)
Asymmetric unit:
Th1 0.222 0.000 0.212
Th2 0.256 0.500 0.781
Sb1 0.000 0.000 0.500
Sb2 0.500 0.500 0.500
Os1 0.000 0.500 0.000
S1 0.500 0.000 0.000

---

Li4SnSe4 | GGA-PBE | relaxed

Summary:
Raw total energy   -137.54 eV per cell
N(E_F)   0.0 states/eV/cell
ΔE_f (raw)   -0.9765 eV/atom
ρ   3.64 g/cm3
V   843 Å³ per cell

Lattice parameters (Å, degrees): 15.087 8.357 6.686 90.00 90.00 90.00
Space group Pnma (No. 62)
Asymmetric unit:
Li1 0.000 0.000 0.000
Li2 0.087 0.250 0.377
Li3 0.176 0.505 0.822
Sn1 0.092 0.750 0.357
Se1 0.069 0.250 0.772
Se2 0.082 0.750 0.739
Se3 0.161 0.004 0.215

---

Na3Au2 | GGA-PBE | relaxed

Summary:
Raw total energy   -46.11 eV per cell
N(E_F)   6.0 states/eV/cell
ρ   6.36 g/cm3
V   484 Å³ per cell
Formation energy from the elements   -203.2 meV/atom

Lattice parameters (Å, degrees): 5.660 5.660 15.094 90.00 90.00 90.00
Space group I4_1/amd (No. 141, origin choice 2)
Asymmetric unit:
Na1 0.000 0.000 0.000
Na2 0.000 0.250 0.375
Au1 0.000 0.250 0.186

---

PuAl2Cd | GGA-PBE | relaxed

Summary:
Raw total energy   -23.08 eV per cell
N(E_F)   8.6 states/eV/cell
ρ   7.95 g/cm3
V   86 Å³ per cell
Formation energy from the elements   -86.4 meV/atom

Lattice parameters (Å, degrees): 4.540 4.540 4.157 90.00 90.00 90.00
Space group P4/mmm (No. 123)
Asymmetric unit:
Pu1 0.000 0.000 0.000
Al1 0.000 0.500 0.500
Cd1 0.500 0.500 0.000

---

K2AgPd2 | GGA-PBE | relaxed

Summary:
Raw total energy   -30.98 eV per cell
N(E_F)   3.4 states/eV/cell
ρ   4.99 g/cm3
V   265 Å³ per cell
Formation energy from the elements   -12.1 meV/atom

Lattice parameters (Å, degrees): 4.663 5.540 10.274 90.00 90.00 90.00
Space group Immm (No. 71)
Asymmetric unit:
K1 0.000 0.000 0.202
Ag1 0.000 0.500 0.000
Pd1 0.000 0.256 0.500

---

Na2MgSiTe4 | GGA-PBE | relaxed

Summary:
Raw total energy   -104.04 eV per cell
N(E_F)   13.0 states/eV/cell
ΔE_f (raw)   -0.4734 eV/atom
ρ   4.55 g/cm3
V   889 Å³ per cell

Lattice parameters (Å, degrees): 7.970 9.141 12.207 90.00 90.00 90.00
Space group Imma (No. 74)
Asymmetric unit:
Na1 0.000 0.000 0.000
Na2 0.250 0.250 0.250
Mg1 0.000 0.000 0.500
Si1 0.250 0.250 0.750
Te1 0.000 0.036 0.745
Te2 0.238 0.250 0.517

---

MnGaAu2S | GGA-PBE | relaxed

Summary:
Raw total energy   -21.64 eV per cell
N(E_F)   2.5 states/eV/cell
ΔE_f (raw)   0.2472 eV/atom
ρ   8.79 g/cm3
V   104 Å³ per cell

Lattice parameters (Å, degrees): 4.958 4.958 4.232 90.00 90.00 90.00
Space group P4/mmm (No. 123)
Asymmetric unit:
Mn1 0.000 0.000 0.000
Ga1 0.500 0.500 0.500
Au1 0.000 0.500 0.000
S1 0.000 0.000 0.500

---

Dy5Y3Er4 | GGA-PBE | relaxed

Summary:
Raw total energy   -60.39 eV per cell
N(E_F)   16.2 states/eV/cell
ρ   7.73 g/cm3
V   375 Å³ per cell
Formation energy from the elements   22.1 meV/atom

Lattice parameters (Å, degrees): 6.124 7.082 8.657 90.00 90.05 90.10
Space group P-1 (No. 2)
Asymmetric unit:
Dy1 0.000 0.000 0.000
Dy2 0.335 0.500 0.333
Dy3 0.499 0.751 0.999
Y1 0.000 0.500 0.000
Y2 0.166 0.249 0.665
Er1 0.168 0.751 0.666
Er2 0.334 0.000 0.333

---

CaCd2F7 | GGA-PBE | relaxed

Summary:
Raw total energy   -123.60 eV per cell
N(E_F)   27.1 states/eV/cell
ΔE_f (raw)   -2.4268 eV/atom
ρ   4.61 g/cm3
V   430 Å³ per cell

Lattice parameters (Å, degrees): 3.9058 3.9058 32.5623 90.00 90.00 120.00
Space group R-3m (No. 166, hexagonal axes)
Asymmetric unit:
Ca1 0.0000 0.0000 0.0000
Cd1 0.0000 0.0000 0.4314
F1 0.0000 0.0000 0.0722
F2 0.0000 0.0000 0.2173
F3 0.0000 0.0000 0.3578
F4 0.0000 0.0000 0.5000

---

SmEr6Sc2 | GGA-PBE | relaxed

Summary:
Raw total energy   -121.98 eV per cell
N(E_F)   47.9 states/eV/cell
ρ   6.93 g/cm3
V   894 Å³ per cell
Formation energy from the elements   455.4 meV/atom

Lattice parameters (Å, degrees): 6.7586 6.7586 22.5926 90.00 90.00 120.00
Space group R3 (No. 146, hexagonal axes)
Asymmetric unit:
Sm1 0.0000 0.0000 0.0000
Er1 0.0068 0.5042 0.2225
Er2 0.1689 0.3396 0.7769
Sc1 0.0000 0.0000 0.2454
Sc2 0.0000 0.0000 0.4134

---

VIr3W | GGA-PBE | relaxed

Summary:
Raw total energy   -41.18 eV per cell
N(E_F)   7.2 states/eV/cell
ρ   15.03 g/cm3
V   90 Å³ per cell
Formation energy from the elements   1495.9 meV/atom

Lattice parameters (Å, degrees): 4.476 4.476 4.476 90.00 90.00 90.00
Space group Pm-3m (No. 221)
Asymmetric unit:
V1 0.000 0.000 0.000
Ir1 0.000 0.000 0.500
W1 0.500 0.500 0.500

---

NpInIr | GGA-PBE | relaxed

Summary:
Raw total energy   -99.18 eV per cell
N(E_F)   38.4 states/eV/cell
ρ   12.52 g/cm3
V   289 Å³ per cell
Formation energy from the elements   -85.2 meV/atom

Lattice parameters (Å, degrees): 6.609 6.609 6.609 90.00 90.00 90.00
Space group F-43m (No. 216)
Asymmetric unit:
Np1 0.000 0.000 0.000
In1 0.000 0.000 0.500
Ir1 0.250 0.250 0.250

---

MnAlTl2 | GGA-PBE | relaxed

Summary:
Raw total energy   -49.12 eV per cell
N(E_F)   5.8 states/eV/cell
ρ   9.15 g/cm3
V   267 Å³ per cell
Formation energy from the elements   318.2 meV/atom

Lattice parameters (Å, degrees): 3.2583 3.2583 29.0511 90.00 90.00 120.00
Space group R3m (No. 160, hexagonal axes)
Asymmetric unit:
Mn1 0.0000 0.0000 0.0000
Al1 0.0000 0.0000 0.7302
Tl1 0.0000 0.0000 0.2539
Tl2 0.0000 0.0000 0.4863

---

HoUS2 | GGA-PBE | relaxed

Summary:
Raw total energy   -92.32 eV per cell
N(E_F)   13.6 states/eV/cell
ΔE_f (raw)   -1.6630 eV/atom
ρ   9.42 g/cm3
V   247 Å³ per cell

Lattice parameters (Å, degrees): 3.8193 3.8193 19.5603 90.00 90.00 120.00
Space group R-3m (No. 166, hexagonal axes)
Asymmetric unit:
Ho1 0.0000 0.0000 0.0000
U1 0.0000 0.0000 0.5000
S1 0.0000 0.0000 0.2514

---

Sr3InSe4 | GGA-PBE | relaxed

Summary:
Raw total energy   -67.77 eV per cell
N(E_F)   6.3 states/eV/cell
ΔE_f (raw)   -1.5205 eV/atom
ρ   3.91 g/cm3
V   589 Å³ per cell

Lattice parameters (Å, degrees): 10.530 9.107 6.142 90.00 90.00 90.00
Space group Pmn2_1 (No. 31)
Asymmetric unit:
Sr1 0.000 0.157 0.000
Sr2 0.248 0.332 0.500
In1 0.000 0.828 0.498
Se1 0.000 0.153 0.500
Se2 0.000 0.826 0.002
Se3 0.247 0.671 0.500

---

Ru4PtRh4 | GGA-PBE | relaxed

Summary:
Raw total energy   -145.24 eV per cell
N(E_F)   19.1 states/eV/cell
ρ   13.11 g/cm3
V   256 Å³ per cell
Formation energy from the elements   -8.0 meV/atom

Lattice parameters (Å, degrees): 8.166 8.166 3.839 90.00 90.00 90.00
Space group I4/mmm (No. 139)
Asymmetric unit:
Ru1 0.000 0.342 0.000
Pt1 0.000 0.000 0.000
Rh1 0.170 0.170 0.500